1 | Compound: HgAsIr
Source: the Alexandria database
Functional: PBE-GGA
Structure: relaxed

```
data_HgAsIr
_chemical_formula_sum 'Hg2 As2 Ir2'
_symmetry_space_group_name_H-M 'P 1'
_symmetry_Int_Tables_number 1
_symmetry_space_group_name_Hall 'P 1'
_cell_length_a 2.9855
_cell_length_b 4.6065
_cell_length_c 9.9647
_cell_angle_alpha 88.16
_cell_angle_beta 81.56
_cell_angle_gamma 70.80
loop_
_atom_site_label
_atom_site_type_symbol
_atom_site_fract_x
_atom_site_fract_y
_atom_site_fract_z
Ir1 Ir 0.2903 0.2832 0.1443
As1 As 0.5851 0.7217 0.1085
Hg1 Hg 0.3055 0.7785 0.6016
As2 As 0.4149 0.2783 0.8915
Ir2 Ir 0.7097 0.7168 0.8557
Hg2 Hg 0.6945 0.2215 0.3984
```

=====

2 | Compound: HgAsIr
Source: the Alexandria database
Functional: PBE-GGA
Structure: relaxed

```
data_HgAsIr
_chemical_formula_sum 'Hg1 As1 Ir1'
_symmetry_space_group_name_H-M 'P 1'
_symmetry_Int_Tables_number 1
_symmetry_space_group_name_Hall 'P 1'
_cell_length_a 4.4298
_cell_length_b 4.4298
_cell_length_c 4.4298
_cell_angle_alpha 60.00
_cell_angle_beta 60.00
_cell_angle_gamma 60.00
loop_
_atom_site_label
_atom_site_type_symbol
_atom_site_fract_x
_atom_site_fract_y
_atom_site_fract_z
Hg1 Hg 0.5000 0.5000 0.5000
As1 As 0.0000 0.0000 0.0000
Ir1 Ir 0.7500 0.7500 0.7500
```

=====

Which of them is the most stable? Correct choice: 1.

=====

1 | Compound: Hg3AsIr
Source: the Alexandria database
Functional: PBE-GGA
Structure: relaxed

```
data_Hg3AsIr
_chemical_formula_sum 'Hg3 As1 Ir1'
_symmetry_space_group_name_H-M 'P 1'
_symmetry_Int_Tables_number 1
_symmetry_space_group_name_Hall 'P 1'
_cell_length_a 5.2541
_cell_length_b 5.2541
_cell_length_c 5.2541
_cell_angle_alpha 90.00
_cell_angle_beta 90.00
_cell_angle_gamma 90.00
loop_
_atom_site_label
_atom_site_type_symbol
_atom_site_fract_x
_atom_site_fract_y
_atom_site_fract_z
Hg1 Hg 0.0000 0.5000 0.0000
Hg2 Hg 0.5000 0.0000 0.0000
As1 As 0.0000 0.0000 0.0000
Hg3 Hg 0.0000 0.0000 0.5000
Ir1 Ir 0.5000 0.5000 0.5000
```

=====

2 | Compound: Hg3AsIr
Source: the Alexandria database
Functional: PBE-GGA
Structure: relaxed

```
data_Hg3AsIr
_chemical_formula_sum 'Hg3 As1 Ir1'
_symmetry_space_group_name_H-M 'P 1'
_symmetry_Int_Tables_number 1
_symmetry_space_group_name_Hall 'P 1'
_cell_length_a 5.2631
_cell_length_b 5.2631
_cell_length_c 5.2631
_cell_angle_alpha 90.00
_cell_angle_beta 90.00
_cell_angle_gamma 90.00
loop_
_atom_site_label
_atom_site_type_symbol
_atom_site_fract_x
_atom_site_fract_y
_atom_site_fract_z
Hg1 Hg 0.0000 0.0000 0.5000
Hg2 Hg 0.0000 0.5000 0.0000
Hg3 Hg 0.5000 0.0000 0.0000
Ir1 Ir 0.0000 0.0000 0.0000
As1 As 0.5000 0.5000 0.5000
```

=====

Which of them is the most stable? Correct choice: 2.

=====

1 | Compound: KHgAs3
Source: the Alexandria database
Functional: PBE-GGA
Structure: relaxed

```
data_KHgAs3
_chemical_formula_sum 'K1 Hg1 As3'
_symmetry_space_group_name_H-M 'P 1'
_symmetry_Int_Tables_number 1
_symmetry_space_group_name_Hall 'P 1'
_cell_length_a 5.3460
_cell_length_b 5.3460
_cell_length_c 5.3460
_cell_angle_alpha 90.00
_cell_angle_beta 90.00
_cell_angle_gamma 90.00
loop_
_atom_site_label
_atom_site_type_symbol
_atom_site_fract_x
_atom_site_fract_y
_atom_site_fract_z
Hg1 Hg 0.0000 0.0000 0.0000
As1 As 0.0000 0.0000 0.5000
As2 As 0.0000 0.5000 0.0000
K1 K 0.5000 0.5000 0.5000
As3 As 0.5000 0.0000 0.0000
```

=====

2 | Compound: KHgAs3
Source: the Alexandria database
Functional: PBE-GGA
Structure: relaxed

```
data_KHgAs3
_chemical_formula_sum 'K1 Hg1 As3'
_symmetry_space_group_name_H-M 'P 1'
_symmetry_Int_Tables_number 1
_symmetry_space_group_name_Hall 'P 1'
_cell_length_a 5.5687
_cell_length_b 5.5687
_cell_length_c 5.5687
_cell_angle_alpha 90.00
_cell_angle_beta 90.00
_cell_angle_gamma 90.00
loop_
_atom_site_label
_atom_site_type_symbol
_atom_site_fract_x
_atom_site_fract_y
_atom_site_fract_z
Hg1 Hg 0.5000 0.5000 0.5000
K1 K 0.0000 0.0000 0.0000
As1 As 0.5000 0.0000 0.0000
As2 As 0.0000 0.0000 0.5000
As3 As 0.0000 0.5000 0.0000
```

=====

Which of them is the most stable? Correct choice: 1.

=====

1 | Compound: K2Hg2As
Source: the Alexandria database
Functional: PBE-GGA
Structure: relaxed

```
data_K2Hg2As
_chemical_formula_sum 'K4 Hg4 As2'
_symmetry_space_group_name_H-M 'P 1'
_symmetry_Int_Tables_number 1
_symmetry_space_group_name_Hall 'P 1'
_cell_length_a 4.8923
_cell_length_b 6.8440
_cell_length_c 10.9629
_cell_angle_alpha 111.71
_cell_angle_beta 90.00
_cell_angle_gamma 110.94
loop_
_atom_site_label
_atom_site_type_symbol
_atom_site_fract_x
_atom_site_fract_y
_atom_site_fract_z
As1 As 0.2804 0.5608 0.2689
K1 K 0.3277 0.6553 0.9648
Hg1 Hg 0.9703 0.9406 0.8452
As2 As 0.7196 0.4392 0.7311
K2 K 0.6723 0.3447 0.0352
Hg2 Hg 0.1042 0.2084 0.6341
Hg3 Hg 0.8958 0.7916 0.3659
Hg4 Hg 0.0297 0.0594 0.1548
K3 K 0.6126 0.2252 0.3981
K4 K 0.3874 0.7748 0.6019
```

=====

2 | Compound: K2Hg2As
Source: the Alexandria database
Functional: PBE-GGA
Structure: relaxed

```
data_K2Hg2As
_chemical_formula_sum 'K2 Hg2 As1'
_symmetry_space_group_name_H-M 'P 1'
_symmetry_Int_Tables_number 1
_symmetry_space_group_name_Hall 'P 1'
_cell_length_a 6.7094
_cell_length_b 6.7094
_cell_length_c 6.3099
_cell_angle_alpha 57.88
_cell_angle_beta 57.88
_cell_angle_gamma 90.00
loop_
_atom_site_label
_atom_site_type_symbol
_atom_site_fract_x
_atom_site_fract_y
_atom_site_fract_z
K1 K 0.7500 0.2500 0.5000
Hg1 Hg 0.3258 0.3258 0.3484
Hg2 Hg 0.6742 0.6742 0.6516
As1 As 0.0000 0.0000 0.0000
K2 K 0.2500 0.7500 0.5000
```

=====

Which of them is the most stable? Correct choice: 1.

=====

1 | Compound: K3HgAs
Source: the Alexandria database
Functional: PBE-GGA
Structure: relaxed

```
data_K3HgAs
_chemical_formula_sum 'K3 Hg1 As1'
_symmetry_space_group_name_H-M 'P 1'
_symmetry_Int_Tables_number 1
_symmetry_space_group_name_Hall 'P 1'
_cell_length_a 6.4259
_cell_length_b 6.4259
_cell_length_c 6.4259
_cell_angle_alpha 90.00
_cell_angle_beta 90.00
_cell_angle_gamma 90.00
loop_
_atom_site_label
_atom_site_type_symbol
_atom_site_fract_x
_atom_site_fract_y
_atom_site_fract_z
K1 K 0.0000 0.5000 0.0000
As1 As 0.0000 0.0000 0.0000
K2 K 0.5000 0.0000 0.0000
Hg1 Hg 0.5000 0.5000 0.5000
K3 K 0.0000 0.0000 0.5000
```

=====

2 | Compound: K3HgAs
Source: the Alexandria database
Functional: PBE-GGA
Structure: relaxed

```
data_K3HgAs
_chemical_formula_sum 'K6 Hg2 As2'
_symmetry_space_group_name_H-M 'P 1'
_symmetry_Int_Tables_number 1
_symmetry_space_group_name_Hall 'P 1'
_cell_length_a 8.4164
_cell_length_b 8.4164
_cell_length_c 8.4164
_cell_angle_alpha 103.11
_cell_angle_beta 110.44
_cell_angle_gamma 115.09
loop_
_atom_site_label
_atom_site_type_symbol
_atom_site_fract_x
_atom_site_fract_y
_atom_site_fract_z
K1 K 0.4886 0.1268 0.2514
K2 K 0.8754 0.6268 0.1381
K3 K 0.8754 0.2373 0.7486
Hg1 Hg 0.4092 0.1279 0.7813
Hg2 Hg 0.3465 0.6279 0.2187
As1 As 0.7314 0.9046 0.3268
As2 As 0.5779 0.4046 0.6732
K4 K 0.4886 0.7373 0.8619
K5 K 0.9014 0.7617 0.6397
K6 K 0.1220 0.2617 0.3603
```

=====

Which of them is the most stable? Correct choice: 2.

=====

1 | Compound: K2HgAs2
Source: the Alexandria database
Functional: PBE-GGA
Structure: relaxed

```
data_K2HgAs2
_chemical_formula_sum 'K2 Hg1 As2'
_symmetry_space_group_name_H-M 'P 1'
_symmetry_Int_Tables_number 1
_symmetry_space_group_name_Hall 'P 1'
_cell_length_a 3.8322
_cell_length_b 3.8322
_cell_length_c 11.2140
_cell_angle_alpha 80.16
_cell_angle_beta 80.16
_cell_angle_gamma 90.00
loop_
_atom_site_label
_atom_site_type_symbol
_atom_site_fract_x
_atom_site_fract_y
_atom_site_fract_z
As1 As 0.2500 0.7500 0.5000
K1 K 0.6196 0.6196 0.7608
Hg1 Hg 0.0000 0.0000 0.0000
K2 K 0.3804 0.3804 0.2392
As2 As 0.7500 0.2500 0.5000
```

=====

2 | Compound: K2HgAs2
Source: the Alexandria database
Functional: PBE-GGA
Structure: relaxed

```
data_K2HgAs2
_chemical_formula_sum 'K2 Hg1 As2'
_symmetry_space_group_name_H-M 'P 1'
_symmetry_Int_Tables_number 1
_symmetry_space_group_name_Hall 'P 1'
_cell_length_a 6.3831
_cell_length_b 6.3831
_cell_length_c 6.4852
_cell_angle_alpha 60.52
_cell_angle_beta 60.52
_cell_angle_gamma 90.00
loop_
_atom_site_label
_atom_site_type_symbol
_atom_site_fract_x
_atom_site_fract_y
_atom_site_fract_z
As1 As 0.6241 0.6241 0.7519
K1 K 0.7500 0.2500 0.5000
As2 As 0.3759 0.3759 0.2481
K2 K 0.2500 0.7500 0.5000
Hg1 Hg 0.0000 0.0000 0.0000
```

=====

Which of them is the most stable? Correct choice: 2.